# 1
Compound: CSe2Br
Source: the Alexandria database
Functional: GGA-PBE
Structure: optimized geometry

Distance to the lowest polymorph of the same formula   576 meV per atom
Mass density   5.335 g/cm3
Formation energy from raw total energies   1.189 eV per atom
V   233.3 Å³/cell

Lattice parameters (Å, degrees): 3.3380 3.3380 24.1768 90.00 90.00 120.00
Fractional positions:
C  0.0000  0.0000  0.0000
C  0.3333  0.6667  0.6667
C  0.6667  0.3333  0.3333
Se  0.0000  0.0000  0.3910
Se  0.0000  0.0000  0.6090
Se  0.3333  0.6667  0.0577
Se  0.3333  0.6667  0.2757
Se  0.6667  0.3333  0.7243
Se  0.6667  0.3333  0.9423
Br  0.0000  0.0000  0.5000
Br  0.3333  0.6667  0.1667
Br  0.6667  0.3333  0.8333


# 2
Compound: BiMoAs3
Source: the Alexandria database
Functional: GGA-PBE
Structure: optimized geometry

Distance to the lowest polymorph of the same formula   0 meV per atom
Calculated formation energy   431 meV per atom
Mass density   7.299 g/cm3
V   120.5 Å³/cell

Lattice parameters (Å, degrees): 4.9393 4.9393 4.9393 90.00 90.00 90.00
Fractional positions:
Bi  0.0000  0.0000  0.0000
Mo  0.5000  0.5000  0.5000
As  0.0000  0.5000  0.5000
As  0.5000  0.0000  0.5000
As  0.5000  0.5000  0.0000